1.
# Ac6MgAg2 PBE relaxed
# Crystal system: orthorhombic
# VASP energy, eV/cell: -131.3
# Energy relative to the elements, meV/atom: -98
data_Ac6MgAg2
_cell_length_a 10.817
_cell_length_b 10.832
_cell_length_c 11.487
_cell_angle_alpha 90.00
_cell_angle_beta 90.00
_cell_angle_gamma 90.00
_symmetry_space_group_name_H-M 'I m m m'
_symmetry_Int_Tables_number 71
_symmetry_space_group_name_Hall '-I 2 2'
loop_
_atom_site_label
_atom_site_type_symbol
_atom_site_fract_x
_atom_site_fract_y
_atom_site_fract_z
Ac1 Ac 0.000 0.207 0.178
Ac2 Ac 0.181 0.226 0.500
Ac3 Ac 0.195 0.500 0.253
Mg1 Mg 0.000 0.500 0.000
Mg2 Mg 0.000 0.500 0.500
Ag1 Ag 0.000 0.000 0.376
Ag2 Ag 0.150 0.000 0.000

2.
# TmSc3 PBE relaxed
# Crystal system: tetragonal
# VASP energy, eV/cell: -46.5
# Energy relative to the elements, meV/atom: 54
# Excess energy over the best structure of this formula in the dataset, meV/atom: 40
data_TmSc3
_cell_length_a 4.701
_cell_length_b 4.701
_cell_length_c 9.352
_cell_angle_alpha 90.00
_cell_angle_beta 90.00
_cell_angle_gamma 90.00
_symmetry_space_group_name_H-M 'I 4/m m m'
_symmetry_Int_Tables_number 139
_symmetry_space_group_name_Hall '-I 4 2'
loop_
_atom_site_label
_atom_site_type_symbol
_atom_site_fract_x
_atom_site_fract_y
_atom_site_fract_z
Tm1 Tm 0.000 0.000 0.000
Sc1 Sc 0.000 0.000 0.500
Sc2 Sc 0.000 0.500 0.250

3.
# SrCaCl2 PBE relaxed
# Crystal system: tetragonal
# VASP energy, eV/cell: -26.2
# Formation energy from raw total energies, eV/atom: -1.437
# Excess energy over the best structure of this formula in the dataset, meV/atom: 252
data_SrCaCl2
_cell_length_a 4.148
_cell_length_b 4.148
_cell_length_c 15.960
_cell_angle_alpha 90.00
_cell_angle_beta 90.00
_cell_angle_gamma 90.00
_symmetry_space_group_name_H-M 'I -4 m 2'
_symmetry_Int_Tables_number 119
_symmetry_space_group_name_Hall 'I -4 -2'
loop_
_atom_site_label
_atom_site_type_symbol
_atom_site_fract_x
_atom_site_fract_y
_atom_site_fract_z
Sr1 Sr 0.000 0.000 0.000
Ca1 Ca 0.000 0.500 0.750
Cl1 Cl 0.000 0.000 0.500
Cl2 Cl 0.000 0.500 0.250

4.
# InTeAs2 PBE relaxed
# Crystal system: tetragonal
# VASP energy, eV/cell: -14.6
# Formation energy from raw total energies, eV/atom: 0.147
# Excess energy over the best structure of this formula in the dataset, meV/atom: 177
data_InTeAs2
_cell_length_a 3.342
_cell_length_b 3.342
_cell_length_c 9.598
_cell_angle_alpha 90.00
_cell_angle_beta 90.00
_cell_angle_gamma 90.00
_symmetry_space_group_name_H-M 'P 4 m m'
_symmetry_Int_Tables_number 99
_symmetry_space_group_name_Hall 'P 4 -2'
loop_
_atom_site_label
_atom_site_type_symbol
_atom_site_fract_x
_atom_site_fract_y
_atom_site_fract_z
In1 In 0.000 0.000 0.000
Te1 Te 0.500 0.500 0.266
As1 As 0.000 0.000 0.604
As2 As 0.500 0.500 0.728

| no. | DOS at the Fermi energy (states/eV/cell) |
| --- | --- |
| 1 | 46.93 |
| 2 | 14.13 |
| 3 | 5.00 |
| 4 | 0.71 |